Entry from the Alexandria database: crystalline AlW2Au at its relaxed geometry (PBE-GGA).

Cell and atoms, written as POSCAR:
```
AlW2Au
1.0
4.848 -0.009 0.000
1.439 4.629 0.000
-3.143 -2.310 2.878
Au W Al
1 2 1
Cartesian
2.424 -0.004 1.439 Au
0.000 0.000 0.000 W
0.720 2.315 1.439 W
3.143 2.310 0.000 Al
```

Properties
- DOS(E_F): 3.7 states/eV per cell
- E_tot: -7.981 eV per atom
- SG: No. 119
- Calculated formation energy: 0.25 eV per atom